A relaxed Rb2TcAsCl6 crystal. Source: Alexandria via LeMat-Bulk, functional PBE-GGA.

a b c (Å): 7.1453 7.1453 7.6445
angles (deg): 62.14 62.14 90.00
Fractional positions:
As: 0.5000 0.5000 0.0000
Cl: 0.2467 0.7533 0.0000
Rb: 0.7500 0.2500 0.5000
Cl: 0.7533 0.2467 0.0000
Cl: 0.7880 0.7880 0.4241
Cl: 0.2467 0.2467 0.0000
Cl: 0.2120 0.2120 0.5759
Tc: 0.0000 0.0000 0.0000
Rb: 0.2500 0.7500 0.5000
Cl: 0.7533 0.7533 0.0000

SG: I4/mmm


A relaxed Rb2TeAsCl6 crystal. Source: Alexandria via LeMat-Bulk, functional PBE-GGA.

a b c (Å): 7.7842 7.7842 7.6322
angles (deg): 59.34 59.34 90.00
Fractional positions:
Te: 0.0000 0.0000 0.0000
Cl: 0.2581 0.2581 0.4838
Cl: 0.2708 0.2708 0.0000
Rb: 0.2500 0.7500 0.5000
As: 0.5000 0.5000 0.0000
Cl: 0.7292 0.7292 0.0000
Rb: 0.7500 0.2500 0.5000
Cl: 0.7419 0.7419 0.5162
Cl: 0.2708 0.7292 0.0000
Cl: 0.7292 0.2708 0.0000

SG: I4/mmm


A relaxed RbTlAsCl crystal. Source: Alexandria via LeMat-Bulk, functional PBE-GGA.

a b c (Å): 4.0046 4.1034 8.3198
angles (deg): 90.00 103.87 90.00
Fractional positions:
Tl: 0.1857 0.0000 0.2697
Cl: 0.0111 0.0000 0.9153
As: 0.7237 0.5000 0.3456
Rb: 0.4291 0.5000 0.7506

SG: Pm
Relative energy among the computed polymorphs, meV/atom: 70


A relaxed RbTl2AsCl6 crystal. Source: Alexandria via LeMat-Bulk, functional PBE-GGA.

a b c (Å): 7.8045 7.8028 7.9158
angles (deg): 60.42 60.42 59.95
Fractional positions:
As: 0.3229 0.3229 0.0312
Tl: 0.5329 0.5328 0.4018
Tl: 0.0274 0.0273 0.9175
Cl: 0.1313 0.4294 0.7929
Cl: 0.4296 0.6465 0.7923
Rb: 0.8150 0.8150 0.5550
Cl: 0.5417 0.2085 0.2436
Cl: 0.0060 0.5422 0.2435
Cl: 0.6465 0.1307 0.7932
Cl: 0.2082 0.0063 0.2441

SG: P1


A relaxed RbTlAsCl crystal. Source: Alexandria via LeMat-Bulk, functional PBE-GGA.

a b c (Å): 4.5376 4.5378 8.7018
angles (deg): 74.96 89.97 60.04
Fractional positions:
As: 0.1216 0.5404 0.7557
Cl: 0.6451 0.4970 0.3144
Rb: 0.9109 0.9664 0.1089
Tl: 0.7530 0.2773 0.6497

SG: P1
Relative energy among the computed polymorphs, meV/atom: 14


A relaxed RbTlAsCl crystal. Source: Alexandria via LeMat-Bulk, functional PBE-GGA.

a b c (Å): 4.5510 4.5510 8.0998
angles (deg): 90.00 90.00 120.00
Fractional positions:
Tl: 0.6667 0.3333 0.7830
Rb: 0.3333 0.6667 0.3384
As: 0.0000 0.0000 0.6777
Cl: 0.6667 0.3333 0.1259

SG: P3m1
Relative energy among the computed polymorphs, meV/atom: 0


A relaxed RbTlAsCl crystal. Source: Alexandria via LeMat-Bulk, functional PBE-GGA.

a b c (Å): 5.3050 3.6837 14.1594
angles (deg): 90.00 90.00 90.00
Fractional positions:
Rb: 0.5000 0.0000 0.5111
As: 0.5000 0.0000 0.2368
Tl: 0.0000 0.5000 0.7874
As: 0.5000 0.5000 0.7368
Cl: 0.0000 0.0000 0.9576
Cl: 0.0000 0.5000 0.4576
Tl: 0.0000 0.0000 0.2874
Rb: 0.5000 0.5000 0.0111

SG: Amm2
Relative energy among the computed polymorphs, meV/atom: 137


A relaxed RbTlAsCl crystal. Source: Alexandria via LeMat-Bulk, functional PBE-GGA.

a b c (Å): 8.7222 4.5309 7.8347
angles (deg): 90.00 106.83 90.00
Fractional positions:
Rb: 0.8673 0.0000 0.2537
Cl: 0.6605 0.5000 0.0205
Rb: 0.8673 0.5000 0.7537
Cl: 0.6605 0.0000 0.5205
Tl: 0.3266 0.0000 0.4147
As: 0.2206 0.0000 0.7139
As: 0.2206 0.5000 0.2139
Tl: 0.3266 0.5000 0.9147

SG: Cm
Relative energy among the computed polymorphs, meV/atom: 19


A relaxed RbTlAsCl crystal. Source: Alexandria via LeMat-Bulk, functional PBE-GGA.

a b c (Å): 8.5803 5.6778 5.6766
angles (deg): 90.00 108.88 90.00
Fractional positions:
As: 0.7158 0.5000 0.7011
As: 0.7158 0.0000 0.2011
Cl: 0.2765 0.5000 0.9849
Tl: 0.6263 0.5000 0.1572
Cl: 0.2765 0.0000 0.4849
Rb: 0.1002 0.5000 0.3987
Tl: 0.6263 0.0000 0.6572
Rb: 0.1002 0.0000 0.8987

SG: Cm
Relative energy among the computed polymorphs, meV/atom: 81


A relaxed RbTlAsCl crystal. Source: Alexandria via LeMat-Bulk, functional PBE-GGA.

a b c (Å): 4.5383 4.5383 24.4701
angles (deg): 90.00 90.00 120.00
Fractional positions:
As: 0.6667 0.3333 0.9597
Cl: 0.3333 0.6667 0.1084
Tl: 0.0000 0.0000 0.3283
Rb: 0.3333 0.6667 0.5127
Tl: 0.6667 0.3333 0.6616
As: 0.3333 0.6667 0.2931
Tl: 0.3333 0.6667 0.9949
Rb: 0.0000 0.0000 0.8460
Rb: 0.6667 0.3333 0.1794
Cl: 0.6667 0.3333 0.7750
As: 0.0000 0.0000 0.6264
Cl: 0.0000 0.0000 0.4417

SG: R3m
Relative energy among the computed polymorphs, meV/atom: 5


A relaxed Rb2VAsCl6 crystal. Source: Alexandria via LeMat-Bulk, functional PBE-GGA.

a b c (Å): 7.9925 7.9925 7.2536
angles (deg): 56.57 56.57 90.00
Fractional positions:
V: 0.5000 0.5000 0.0000
Cl: 0.7139 0.2861 0.0000
Cl: 0.2861 0.7139 0.0000
Rb: 0.2500 0.7500 0.5000
Cl: 0.7456 0.7456 0.5088
Cl: 0.2544 0.2544 0.4912
Rb: 0.7500 0.2500 0.5000
Cl: 0.2861 0.2861 0.0000
As: 0.0000 0.0000 0.0000
Cl: 0.7139 0.7139 0.0000

SG: I4/mmm


A relaxed Rb2ZrAsCl6 crystal. Source: Alexandria via LeMat-Bulk, functional PBE-GGA.

a b c (Å): 7.3905 7.3905 8.1279
angles (deg): 62.96 62.96 90.00
Fractional positions:
Cl: 0.7601 0.7601 0.0000
As: 0.5000 0.5000 0.0000
Cl: 0.2399 0.7601 0.0000
Zr: 0.0000 0.0000 0.0000
Cl: 0.2028 0.2028 0.5944
Cl: 0.7972 0.7972 0.4056
Rb: 0.2500 0.7500 0.5000
Cl: 0.2399 0.2399 0.0000
Rb: 0.7500 0.2500 0.5000
Cl: 0.7601 0.2399 0.0000

SG: I4/mmm


These records have formation energy without anion corrections values of -922 -976 -667 -1063 -724 -737 -600 -718 -657 -732 -1073 -1332 meV/atom, in the order they appear.